Below is a relaxed TlCr2Pt crystal, with properties calculated at the GGA-PBE level.

abc: 4.4380 4.4380 4.4380
angles: 60.00 60.00 60.00
Closest atoms and distances in Å follow each position.
Fractional coordinates of all 4 atoms:
Cr 0.7500 0.7500 0.7500  4 Tl 2.72, 4 Pt 2.72
Tl 0.5000 0.5000 0.5000  8 Cr 2.72
Cr 0.2500 0.2500 0.2500  4 Tl 2.72, 4 Pt 2.72
Pt 0.0000 0.0000 0.0000  8 Cr 2.72

Results
**Space group**: No. 225
**ΔH_f (0 K)**: 0.66 eV per atom
**Final energy**: -0.4595 Ry/atom
**Distance to the lowest polymorph of the same formula**: 0.419 eV per atom

Below is a relaxed Ba3SnP3 crystal, with properties calculated at the GGA-PBE level.

abc: 4.8524 13.5153 13.9698
angles: 90.00 90.00 90.00
Closest atoms and distances in Å follow each position.
Fractional coordinates of all 28 atoms:
Ba 0.7500 0.4206 0.8931  6 P 3.17-3.55
Ba 0.2500 0.3648 0.5005  5 P 3.18-3.55
P 0.7500 0.9663 0.8423  2 Sn 2.71
Sn 0.7500 0.4538 0.3035  4 P 2.62-2.71
Ba 0.7500 0.6352 0.4995  5 P 3.18-3.55
P 0.2500 0.5337 0.3423  2 Sn 2.71
P 0.2500 0.2301 0.8734  1 Sn 2.67
Ba 0.2500 0.2819 0.1997  5 P 3.22-3.44
Ba 0.7500 0.2181 0.6997  5 P 3.22-3.44
Ba 0.7500 0.1352 0.0005  5 P 3.18-3.55
P 0.7500 0.4663 0.6577  2 Sn 2.71
P 0.7500 0.2699 0.3734  1 Sn 2.67
Ba 0.2500 0.5794 0.1069  6 P 3.17-3.55
Ba 0.7500 0.9206 0.6069  6 P 3.17-3.55
P 0.2500 0.5853 0.8799  1 Sn 2.62
P 0.2500 0.0853 0.6201  1 Sn 2.62
Sn 0.2500 0.0461 0.8035  4 P 2.62-2.71
Ba 0.2500 0.7819 0.3003  5 P 3.22-3.44
Sn 0.2500 0.5462 0.6965  4 P 2.62-2.71
Sn 0.7500 0.9538 0.1965  4 P 2.62-2.71
P 0.7500 0.4147 0.1201  1 Sn 2.62
P 0.2500 0.0337 0.1577  2 Sn 2.71
Ba 0.2500 0.0794 0.3931  6 P 3.17-3.55
Ba 0.2500 0.8648 0.9995  5 P 3.18-3.55
P 0.2500 0.7301 0.6266  1 Sn 2.67
P 0.7500 0.9147 0.3799  1 Sn 2.62
Ba 0.7500 0.7181 0.8003  5 P 3.22-3.44
P 0.7500 0.7699 0.1266  1 Sn 2.67

Results
**Space group**: No. 62
**ΔH_f (0 K)**: -0.85 eV per atom
**Final energy**: -0.3356 Ry/atom
**Distance to the lowest polymorph of the same formula**: 0.023 eV per atom

Below is a relaxed KRbPS2 crystal, with properties calculated at the GGA-PBE level.

abc: 5.9111 5.9111 6.1419
angles: 90.00 90.00 90.00
Closest atoms and distances in Å follow each position.
Fractional coordinates of all 5 atoms:
S 0.0000 0.5000 0.0000  2 K 2.96
S 0.5000 0.0000 0.0000  2 K 2.96
K 0.0000 0.0000 0.0000  4 S 2.96, 2 P 3.07
P 0.0000 0.0000 0.5000  2 K 3.07
Rb 0.5000 0.5000 0.5000  4 P 4.18, 8 S 4.26

Results
**Formation energy (no corrections)**: 0.5641 eV/atom
**Space group**: No. 123
**Final energy**: -0.1898 Ry/atom
**Distance to the lowest polymorph of the same formula**: 0.944 eV per atom

Number 1: magnetic moment 0.00 μB per cell. Number 2: magnetic moment 0.00 μB per cell. Number 3: magnetic moment 5.03 μB per cell.